## CeSm5Tl6 (PBE)

Data for a geometry-optimized CeSm5Tl6 structure.

Properties
Energy above the most stable polymorph in this dataset ... 123 meV/atom
ρ ... 9.36 g/cm³
Space group ... C2/m (12)
Energy relative to the elements ... -21.8 kJ per mole of atoms
Crystal system ... monoclinic

Cell: 7.604 7.604 6.729 Å, 98.26 98.26 98.16°
Fractional positions:
1 Ce 0.000 0.000 0.000
2 Sm 0.164 0.836 0.500
3 Sm 0.332 0.668 0.000
4 Sm 0.500 0.500 0.500
5 Sm 0.668 0.332 0.000
6 Sm 0.836 0.164 0.500
7 Tl 0.083 0.420 0.253
8 Tl 0.252 0.252 0.749
9 Tl 0.420 0.083 0.253
10 Tl 0.580 0.917 0.747
11 Tl 0.748 0.748 0.251
12 Tl 0.917 0.580 0.747